# Nd2YCo | Alexandria via LeMat-Bulk | PBE | relaxed
data_Nd2YCo
_cell_length_a 10.711
_cell_length_b 10.711
_cell_length_c 10.711
_cell_angle_alpha 19.71
_cell_angle_beta 19.71
_cell_angle_gamma 19.71
_symmetry_space_group_name_H-M 'P 1'
_symmetry_Int_Tables_number 1
loop_
_symmetry_equiv_pos_as_xyz
'x,y,z'
loop_
_atom_site_label
_atom_site_type_symbol
_atom_site_fract_x
_atom_site_fract_y
_atom_site_fract_z
_atom_site_occupancy
Nd1 Nd 0.112 0.112 0.112 1
Nd2 Nd 0.888 0.888 0.888 1
Y1 Y 0.000 0.000 0.000 1
Co1 Co 0.500 0.500 0.500 1
# Total DFT energy (no corrections) in eV/f.u.: -22.188
# ρ in g cm⁻³: 5.9
# Total magnetic moment in μB/atom: 0.003
# Energy relative to the elements in eV/f.u.: 0.92

# Nd2YCo | Alexandria via LeMat-Bulk | PBE | relaxed
data_Nd2YCo
_cell_length_a 9.489
_cell_length_b 9.489
_cell_length_c 9.489
_cell_angle_alpha 23.40
_cell_angle_beta 23.40
_cell_angle_gamma 23.40
_symmetry_space_group_name_H-M 'P 1'
_symmetry_Int_Tables_number 1
loop_
_symmetry_equiv_pos_as_xyz
'x,y,z'
loop_
_atom_site_label
_atom_site_type_symbol
_atom_site_fract_x
_atom_site_fract_y
_atom_site_fract_z
_atom_site_occupancy
Nd1 Nd 0.000 0.000 0.000 1
Nd2 Nd 0.217 0.217 0.217 1
Y1 Y 0.774 0.774 0.774 1
Co1 Co 0.609 0.609 0.609 1
# Total DFT energy (no corrections) in eV/f.u.: -22.812
# ρ in g cm⁻³: 6.1
# Total magnetic moment in μB/atom: 0.103
# Energy relative to the elements in eV/f.u.: 0.29

# Nd12YCo6 | Alexandria via LeMat-Bulk | PBE | relaxed
data_Nd12YCo6
_cell_length_a 8.747
_cell_length_b 8.747
_cell_length_c 8.747
_cell_angle_alpha 109.47
_cell_angle_beta 109.47
_cell_angle_gamma 109.47
_symmetry_space_group_name_H-M 'P 1'
_symmetry_Int_Tables_number 1
loop_
_symmetry_equiv_pos_as_xyz
'x,y,z'
loop_
_atom_site_label
_atom_site_type_symbol
_atom_site_fract_x
_atom_site_fract_y
_atom_site_fract_z
_atom_site_occupancy
Nd1 Nd 0.115 0.310 0.805 1
Nd2 Nd 0.195 0.505 0.310 1
Nd3 Nd 0.195 0.885 0.690 1
Nd4 Nd 0.310 0.195 0.505 1
Nd5 Nd 0.310 0.805 0.115 1
Nd6 Nd 0.495 0.690 0.805 1
Nd7 Nd 0.505 0.310 0.195 1
Nd8 Nd 0.690 0.195 0.885 1
Nd9 Nd 0.690 0.805 0.495 1
Nd10 Nd 0.805 0.115 0.310 1
Nd11 Nd 0.805 0.495 0.690 1
Nd12 Nd 0.885 0.690 0.195 1
Y1 Y 0.000 0.000 0.000 1
Co1 Co 0.111 0.500 0.611 1
Co2 Co 0.389 0.889 0.500 1
Co3 Co 0.500 0.389 0.889 1
Co4 Co 0.500 0.611 0.111 1
Co5 Co 0.611 0.111 0.500 1
Co6 Co 0.889 0.500 0.389 1
# Total DFT energy (no corrections) in eV/f.u.: -107.120
# ρ in g cm⁻³: 7.0
# Total magnetic moment in μB/atom: 0.001
# Energy relative to the elements in eV/f.u.: -0.81

# Nd3YCo | Alexandria via LeMat-Bulk | PBE | relaxed
data_Nd3YCo
_cell_length_a 5.438
_cell_length_b 5.438
_cell_length_c 5.438
_cell_angle_alpha 90.00
_cell_angle_beta 90.00
_cell_angle_gamma 90.00
_symmetry_space_group_name_H-M 'P 1'
_symmetry_Int_Tables_number 1
loop_
_symmetry_equiv_pos_as_xyz
'x,y,z'
loop_
_atom_site_label
_atom_site_type_symbol
_atom_site_fract_x
_atom_site_fract_y
_atom_site_fract_z
_atom_site_occupancy
Nd1 Nd 0.000 0.000 0.500 1
Nd2 Nd 0.000 0.500 0.000 1
Nd3 Nd 0.500 0.000 0.000 1
Y1 Y 0.500 0.500 0.500 1
Co1 Co 0.000 0.000 0.000 1
# Total DFT energy (no corrections) in eV/f.u.: -27.377
# ρ in g cm⁻³: 6.0
# Total magnetic moment in μB/atom: 0.207
# Energy relative to the elements in eV/f.u.: 0.50

# Nd4YCo4 | Alexandria via LeMat-Bulk | PBE | relaxed
data_Nd4YCo4
_cell_length_a 8.560
_cell_length_b 8.560
_cell_length_c 5.790
_cell_angle_alpha 90.00
_cell_angle_beta 90.00
_cell_angle_gamma 90.00
_symmetry_space_group_name_H-M 'P 1'
_symmetry_Int_Tables_number 1
loop_
_symmetry_equiv_pos_as_xyz
'x,y,z'
loop_
_atom_site_label
_atom_site_type_symbol
_atom_site_fract_x
_atom_site_fract_y
_atom_site_fract_z
_atom_site_occupancy
Nd1 Nd 0.056 0.677 0.130 1
Nd2 Nd 0.177 0.944 0.630 1
Nd3 Nd 0.323 0.556 0.630 1
Nd4 Nd 0.444 0.823 0.130 1
Nd5 Nd 0.556 0.177 0.870 1
Nd6 Nd 0.677 0.444 0.370 1
Nd7 Nd 0.823 0.056 0.370 1
Nd8 Nd 0.944 0.323 0.870 1
Y1 Y 0.250 0.250 0.250 1
Y2 Y 0.750 0.750 0.750 1
Co1 Co 0.012 0.613 0.606 1
Co2 Co 0.113 0.988 0.106 1
Co3 Co 0.387 0.512 0.106 1
Co4 Co 0.488 0.887 0.606 1
Co5 Co 0.512 0.113 0.394 1
Co6 Co 0.613 0.488 0.894 1
Co7 Co 0.887 0.012 0.894 1
Co8 Co 0.988 0.387 0.394 1
# Total DFT energy (no corrections) in eV/f.u.: -53.683
# ρ in g cm⁻³: 7.1
# Total magnetic moment in μB/atom: 0.000
# Energy relative to the elements in eV/f.u.: 0.28

# NdY2Co | Alexandria via LeMat-Bulk | PBE | relaxed
data_NdY2Co
_cell_length_a 7.008
_cell_length_b 9.557
_cell_length_c 6.399
_cell_angle_alpha 90.00
_cell_angle_beta 90.00
_cell_angle_gamma 90.00
_symmetry_space_group_name_H-M 'P 1'
_symmetry_Int_Tables_number 1
loop_
_symmetry_equiv_pos_as_xyz
'x,y,z'
loop_
_atom_site_label
_atom_site_type_symbol
_atom_site_fract_x
_atom_site_fract_y
_atom_site_fract_z
_atom_site_occupancy
Nd1 Nd 0.046 0.250 0.142 1
Nd2 Nd 0.454 0.750 0.642 1
Nd3 Nd 0.546 0.250 0.358 1
Nd4 Nd 0.954 0.750 0.858 1
Y1 Y 0.171 0.069 0.677 1
Y2 Y 0.171 0.431 0.677 1
Y3 Y 0.329 0.569 0.177 1
Y4 Y 0.329 0.931 0.177 1
Y5 Y 0.671 0.069 0.823 1
Y6 Y 0.671 0.431 0.823 1
Y7 Y 0.829 0.569 0.323 1
Y8 Y 0.829 0.931 0.323 1
Co1 Co 0.115 0.750 0.447 1
Co2 Co 0.385 0.250 0.947 1
Co3 Co 0.615 0.750 0.053 1
Co4 Co 0.885 0.250 0.553 1
# Total DFT energy (no corrections) in eV/f.u.: -25.290
# ρ in g cm⁻³: 5.9
# Total magnetic moment in μB/atom: 0.000
# Energy relative to the elements in eV/f.u.: -0.49

# NdY4Co | Alexandria via LeMat-Bulk | PBE | relaxed
data_NdY4Co
_cell_length_a 6.243
_cell_length_b 3.556
_cell_length_c 8.720
_cell_angle_alpha 90.00
_cell_angle_beta 101.38
_cell_angle_gamma 90.00
_symmetry_space_group_name_H-M 'P 1'
_symmetry_Int_Tables_number 1
loop_
_symmetry_equiv_pos_as_xyz
'x,y,z'
loop_
_atom_site_label
_atom_site_type_symbol
_atom_site_fract_x
_atom_site_fract_y
_atom_site_fract_z
_atom_site_occupancy
Nd1 Nd 0.000 0.000 0.000 1
Y1 Y 0.112 0.500 0.347 1
Y2 Y 0.412 0.000 0.720 1
Y3 Y 0.588 0.000 0.280 1
Y4 Y 0.888 0.500 0.653 1
Co1 Co 0.500 0.500 0.500 1
# Total DFT energy (no corrections) in eV/f.u.: -37.089
# ρ in g cm⁻³: 4.9
# Total magnetic moment in μB/atom: 0.000
# Energy relative to the elements in eV/f.u.: 0.64

# Nd2YCo | Alexandria via LeMat-Bulk | PBE | relaxed
data_Nd2YCo
_cell_length_a 3.541
_cell_length_b 3.541
_cell_length_c 8.923
_cell_angle_alpha 90.00
_cell_angle_beta 90.00
_cell_angle_gamma 90.00
_symmetry_space_group_name_H-M 'P 1'
_symmetry_Int_Tables_number 1
loop_
_symmetry_equiv_pos_as_xyz
'x,y,z'
loop_
_atom_site_label
_atom_site_type_symbol
_atom_site_fract_x
_atom_site_fract_y
_atom_site_fract_z
_atom_site_occupancy
Nd1 Nd 0.000 0.000 0.189 1
Nd2 Nd 0.000 0.000 0.811 1
Y1 Y 0.500 0.500 0.500 1
Co1 Co 0.500 0.500 0.000 1
# Total DFT energy (no corrections) in eV/f.u.: -22.818
# ρ in g cm⁻³: 6.5
# Total magnetic moment in μB/atom: 0.460
# Energy relative to the elements in eV/f.u.: 0.29

# NdY3Co | Alexandria via LeMat-Bulk | PBE | relaxed
data_NdY3Co
_cell_length_a 7.465
_cell_length_b 7.465
_cell_length_c 7.465
_cell_angle_alpha 115.67
_cell_angle_beta 93.00
_cell_angle_gamma 120.97
_symmetry_space_group_name_H-M 'P 1'
_symmetry_Int_Tables_number 1
loop_
_symmetry_equiv_pos_as_xyz
'x,y,z'
loop_
_atom_site_label
_atom_site_type_symbol
_atom_site_fract_x
_atom_site_fract_y
_atom_site_fract_z
_atom_site_occupancy
Nd1 Nd 0.253 0.003 0.250 1
Nd2 Nd 0.747 0.997 0.750 1
Y1 Y 0.239 0.000 0.739 1
Y2 Y 0.239 0.500 0.239 1
Y3 Y 0.259 0.509 0.750 1
Y4 Y 0.741 0.491 0.250 1
Y5 Y 0.761 0.000 0.261 1
Y6 Y 0.761 0.500 0.761 1
Co1 Co 0.500 0.000 0.000 1
Co2 Co 0.500 0.500 0.500 1
# Total DFT energy (no corrections) in eV/f.u.: -31.383
# ρ in g cm⁻³: 5.2
# Total magnetic moment in μB/atom: 0.000
# Energy relative to the elements in eV/f.u.: -0.12

# Nd3YCo | Alexandria via LeMat-Bulk | PBE | relaxed
data_Nd3YCo
_cell_length_a 6.945
_cell_length_b 6.945
_cell_length_c 6.657
_cell_angle_alpha 105.26
_cell_angle_beta 105.26
_cell_angle_gamma 91.58
_symmetry_space_group_name_H-M 'P 1'
_symmetry_Int_Tables_number 1
loop_
_symmetry_equiv_pos_as_xyz
'x,y,z'
loop_
_atom_site_label
_atom_site_type_symbol
_atom_site_fract_x
_atom_site_fract_y
_atom_site_fract_z
_atom_site_occupancy
Nd1 Nd 0.064 0.563 0.262 1
Nd2 Nd 0.068 0.068 0.272 1
Nd3 Nd 0.437 0.936 0.738 1
Nd4 Nd 0.563 0.064 0.262 1
Nd5 Nd 0.932 0.932 0.728 1
Nd6 Nd 0.936 0.437 0.738 1
Y1 Y 0.436 0.436 0.736 1
Y2 Y 0.564 0.564 0.264 1
Co1 Co 0.251 0.251 0.995 1
Co2 Co 0.749 0.749 0.005 1
# Total DFT energy (no corrections) in eV/f.u.: -27.527
# ρ in g cm⁻³: 6.5
# Total magnetic moment in μB/atom: 0.000
# Energy relative to the elements in eV/f.u.: 0.35

# Nd8YCo2 | Alexandria via LeMat-Bulk | PBE | relaxed
data_Nd8YCo2
_cell_length_a 7.492
_cell_length_b 7.492
_cell_length_c 7.346
_cell_angle_alpha 107.07
_cell_angle_beta 107.07
_cell_angle_gamma 67.80
_symmetry_space_group_name_H-M 'P 1'
_symmetry_Int_Tables_number 1
loop_
_symmetry_equiv_pos_as_xyz
'x,y,z'
loop_
_atom_site_label
_atom_site_type_symbol
_atom_site_fract_x
_atom_site_fract_y
_atom_site_fract_z
_atom_site_occupancy
Nd1 Nd 0.086 0.692 0.683 1
Nd2 Nd 0.177 0.177 0.825 1
Nd3 Nd 0.308 0.914 0.317 1
Nd4 Nd 0.372 0.372 0.314 1
Nd5 Nd 0.628 0.628 0.686 1
Nd6 Nd 0.692 0.086 0.683 1
Nd7 Nd 0.823 0.823 0.175 1
Nd8 Nd 0.914 0.308 0.317 1
Y1 Y 0.500 0.500 0.000 1
Co1 Co 0.312 0.312 0.613 1
Co2 Co 0.688 0.688 0.387 1
# Total DFT energy (no corrections) in eV/f.u.: -57.786
# ρ in g cm⁻³: 6.3
# Total magnetic moment in μB/atom: 0.000
# Energy relative to the elements in eV/f.u.: 1.03

# Nd2Y3Co2 | Alexandria via LeMat-Bulk | PBE | relaxed
data_Nd2Y3Co2
_cell_length_a 6.403
_cell_length_b 6.403
_cell_length_c 9.083
_cell_angle_alpha 114.69
_cell_angle_beta 114.69
_cell_angle_gamma 33.17
_symmetry_space_group_name_H-M 'P 1'
_symmetry_Int_Tables_number 1
loop_
_symmetry_equiv_pos_as_xyz
'x,y,z'
loop_
_atom_site_label
_atom_site_type_symbol
_atom_site_fract_x
_atom_site_fract_y
_atom_site_fract_z
_atom_site_occupancy
Nd1 Nd 0.172 0.172 0.302 1
Nd2 Nd 0.828 0.828 0.698 1
Y1 Y 0.381 0.381 0.077 1
Y2 Y 0.500 0.500 0.500 1
Y3 Y 0.619 0.619 0.923 1
Co1 Co 0.178 0.178 0.742 1
Co2 Co 0.822 0.822 0.258 1
# Total DFT energy (no corrections) in eV/f.u.: -43.965
# ρ in g cm⁻³: 6.1
# Total magnetic moment in μB/atom: 0.000
# Energy relative to the elements in eV/f.u.: -0.83